# KNaMg2Zn

Crystalline KNaMg2Zn at its relaxed geometry (PBE, Alexandria via LeMat-Bulk).

Calculated values
Offset from the most stable computed form, meV per atom: 0
V, Å³ per atom: 32.114
Electronic total energy, eV/atom: -1.253
E_form, eV/atom: 0.123
Density, kg/m³: 1821

```
KNaMg2Zn
1.0
5.239 0.000 0.000
0.000 5.239 0.000
0.000 0.000 5.850
K Na Mg Zn
1 1 2 1
Cartesian
0.000 0.000 0.000
2.620 2.620 0.000
0.000 2.620 2.925
2.620 0.000 2.925
2.620 2.620 2.925
```

# RbNaZr3

Crystalline RbNaZr3 at its relaxed geometry (PBE, Alexandria via LeMat-Bulk).

Calculated values
Offset from the most stable computed form, meV per atom: 369
V, Å³ per atom: 28.585
Electronic total energy, eV/atom: -3.536
E_form, eV/atom: 2.050
Density, kg/m³: 4440

```
RbNaZr3
1.0
5.228 0.000 0.000
0.000 5.228 0.000
0.000 0.000 5.228
Rb Na Zr
1 1 3
Cartesian
0.000 0.000 0.000
2.614 2.614 2.614
0.000 0.000 2.614
0.000 2.614 0.000
2.614 0.000 0.000
```

# Li2PIr

Crystalline Li2PIr at its relaxed geometry (PBE, Alexandria via LeMat-Bulk).

Calculated values
V, Å³ per atom: 12.689
Electronic total energy, eV/atom: -4.910
E_form, eV/atom: -0.385
Density, kg/m³: 7756

```
Li2PIr
1.0
-1.755 1.755 4.120
1.755 -1.755 4.120
1.755 1.755 -4.120
Li P Ir
2 1 1
Cartesian
1.755 0.000 2.060
0.000 1.755 2.060
0.000 0.000 0.000
0.000 0.000 4.120
```

# NaIn4Ga

Crystalline NaIn4Ga at its relaxed geometry (PBE, Alexandria via LeMat-Bulk).

Calculated values
Offset from the most stable computed form, meV per atom: 0
V, Å³ per atom: 26.468
Electronic total energy, eV/atom: -2.545
E_form, eV/atom: 0.005
Density, kg/m³: 5772

```
NaIn4Ga
1.0
4.695 -2.726 0.000
4.695 2.726 0.000
-4.515 0.000 6.204
Na In Ga
1 4 1
Cartesian
0.000 0.000 0.000
-0.661 0.000 3.522
3.088 0.000 0.331
1.787 0.000 5.873
5.535 0.000 2.682
2.437 0.000 3.102
```

Q: Which of these has the lowest electronic total energy?
A: Li2PIr

Q: Which of these has the highest density?
A: Li2PIr